VASP calculation (PBE) on a geometry-optimized K3TaAg2S6 structure.

Cell and atoms, written as CIF:
```
data_K3TaAg2S6
_space_group_name_H-M_alt 'P 1'
_space_group_IT_number 1
_cell_length_a 6.933
_cell_length_b 6.933
_cell_length_c 7.383
_cell_angle_alpha 97.35
_cell_angle_beta 97.35
_cell_angle_gamma 123.09
loop_
_space_group_symop_operation_xyz
'x,y,z'
loop_
_atom_site_label
_atom_site_fract_x
_atom_site_fract_y
_atom_site_fract_z
K1 0.000 0.000 0.000
K2 0.317 0.683 0.000
K3 0.683 0.317 0.000
Ta1 0.500 0.500 0.500
Ag1 0.158 0.842 0.500
Ag2 0.842 0.158 0.500
S1 0.121 0.418 0.318
S2 0.285 0.285 0.717
S3 0.418 0.121 0.318
S4 0.582 0.879 0.682
S5 0.715 0.715 0.283
S6 0.879 0.582 0.682
```

Summary:
The value obtained for the calculated total energy is -4.476 eV/atom. The value obtained for the raw formation energy is -0.675 eV/atom.